An optimized crystal structure of PaAgSe2. Source: Alexandria via LeMat-Bulk, functional GGA-PBE.

POSCAR file:
```
PaAgSe2
1.0
3.992 0.000 0.000
-1.996 3.458 0.000
0.000 0.000 25.692
Pa Ag Se
3 3 6
direct
0.000 0.000 0.000 Pa
0.333 0.667 0.667 Pa
0.667 0.333 0.333 Pa
0.000 0.000 0.500 Ag
0.333 0.667 0.167 Ag
0.667 0.333 0.833 Ag
0.000 0.000 0.401 Se
0.000 0.000 0.599 Se
0.333 0.667 0.068 Se
0.333 0.667 0.266 Se
0.667 0.333 0.734 Se
0.667 0.333 0.932 Se
```

Values from the calculation:
V in Å³ per atom: 29.55
E above lowest polymorph in eV/atom: 0.070
Formation energy from raw total energies in meV/atom: -723
Final energy in eV for the cell shown: -66.62
Space-group type: R-3m